NbCr | PBE-GGA | optimized geometry

Cell: 5.738 5.738 5.738 Å, 98.86 98.86 133.79°
Atoms (fractional coordinates):
Nb  0.000  0.300  0.300
Nb  0.000  0.700  0.700
Nb  0.300  0.000  0.300
Nb  0.700  0.000  0.700
Cr  0.344  0.344  0.689
Cr  0.344  0.656  0.000
Cr  0.656  0.344  0.000
Cr  0.656  0.656  0.311

Properties
Uncorrected energy = -76.20 eV/cell
Spin magnetization = 0.0 μB per formula unit